Entry from Alexandria via LeMat-Bulk: a relaxed structure of MgGeP2 (PBE-GGA).

a = 5.800 Å, b = 5.800 Å, c = 6.748 Å
α = 64.55°, β = 64.55°, γ = 90.00°
Fractional coordinates of all 8 atoms:
P: 0.875 0.904 0.750
P: 0.654 0.125 0.250
P: 0.096 0.625 0.250
P: 0.375 0.346 0.750
Mg: 0.500 0.500 0.000
Mg: 0.250 0.750 0.500
Ge: 0.750 0.250 0.500
Ge: 0.000 0.000 0.000

Output
Space-group type = I-42d
Magnetization = 0.0 μB/f.u.
Theoretical density = 2.9 g/cm³
E_form = -310 meV per atom